# 1
SiGeAs2 after structural relaxation. Source: Alexandria via LeMat-Bulk, functional PBE-GGA.

Geometry as POSCAR:
```
SiGeAs2
1.0
-1.540 -0.655 4.367
-3.295 2.812 1.764
-4.320 -1.634 0.736
As Si Ge
2 1 1
direct
0.250 0.250 0.250 As
0.750 0.750 0.750 As
0.000 0.000 0.000 Si
0.500 0.500 0.500 Ge
```

Output
The calculation puts the energy above the lowest structure with this stoichiometry at 101 kJ/mol of formula units. The total DFT energy (no corrections) comes out at -4.39 eV/atom.

---

# 2
Si2Ge2As after structural relaxation. Source: Alexandria via LeMat-Bulk, functional PBE-GGA.

Geometry as POSCAR:
```
Si2Ge2As
1.0
3.508 0.000 0.000
0.000 3.508 0.000
1.754 1.754 7.453
As Si Ge
1 2 2
direct
0.000 0.000 0.000 As
0.750 0.250 0.500 Si
0.250 0.750 0.500 Si
0.399 0.399 0.201 Ge
0.601 0.601 0.799 Ge
```

Output
The calculation puts the energy above the lowest structure with this stoichiometry at 0 kJ/mol of formula units. The total DFT energy (no corrections) comes out at -4.59 eV/atom.

---

# 3
Si2GeAs after structural relaxation. Source: Alexandria via LeMat-Bulk, functional PBE-GGA.

Geometry as POSCAR:
```
Si2GeAs
1.0
5.607 0.000 0.000
0.000 5.607 0.000
2.803 2.803 5.694
As Si Ge
2 4 2
direct
0.000 0.000 0.000 As
0.750 0.250 0.500 As
0.616 0.125 0.250 Si
0.134 0.625 0.250 Si
0.375 0.384 0.750 Si
0.875 0.866 0.750 Si
0.500 0.500 0.000 Ge
0.250 0.750 0.500 Ge
```

Output
The calculation puts the energy above the lowest structure with this stoichiometry at 0 kJ/mol of formula units. The total DFT energy (no corrections) comes out at -4.83 eV/atom.

---

# 4
Si2Ge2As after structural relaxation. Source: Alexandria via LeMat-Bulk, functional PBE-GGA.

Geometry as POSCAR:
```
Si2Ge2As
1.0
7.322 0.000 0.000
0.000 7.322 0.000
0.000 0.000 3.454
As Si Ge
2 4 4
direct
0.000 0.000 0.000 As
0.500 0.500 0.000 As
0.120 0.620 0.500 Si
0.620 0.880 0.500 Si
0.880 0.380 0.500 Si
0.380 0.120 0.500 Si
0.328 0.828 0.000 Ge
0.828 0.672 0.000 Ge
0.672 0.172 0.000 Ge
0.172 0.328 0.000 Ge
```

Output
The calculation puts the energy above the lowest structure with this stoichiometry at 62 kJ/mol of formula units. The total DFT energy (no corrections) comes out at -4.46 eV/atom.

---

# 5
Si2GeAs after structural relaxation. Source: Alexandria via LeMat-Bulk, functional PBE-GGA.

Geometry as POSCAR:
```
Si2GeAs
1.0
0.000 3.247 3.247
3.247 0.000 3.247
3.247 3.247 0.000
As Si Ge
1 2 1
direct
0.500 0.500 0.500 As
0.250 0.250 0.250 Si
0.750 0.750 0.750 Si
0.000 0.000 0.000 Ge
```

Output
The calculation puts the energy above the lowest structure with this stoichiometry at 125 kJ/mol of formula units. The total DFT energy (no corrections) comes out at -4.51 eV/atom.

---

# 6
SiGeAs2 after structural relaxation. Source: Alexandria via LeMat-Bulk, functional PBE-GGA.

Geometry as POSCAR:
```
SiGeAs2
1.0
6.350 0.000 0.000
0.000 6.350 0.000
3.175 3.175 4.707
As Si Ge
4 2 2
direct
0.588 0.125 0.250 As
0.162 0.625 0.250 As
0.375 0.412 0.750 As
0.875 0.838 0.750 As
0.500 0.500 0.000 Si
0.250 0.750 0.500 Si
0.000 0.000 0.000 Ge
0.750 0.250 0.500 Ge
```

Output
The calculation puts the energy above the lowest structure with this stoichiometry at 0 kJ/mol of formula units. The total DFT energy (no corrections) comes out at -4.65 eV/atom.